# Dy3CoSb

A geometry-optimized Dy3CoSb structure (PBE, Alexandria via LeMat-Bulk).

Cell lengths 5.1121, 5.1121, 5.1121 Å; angles 90.00, 90.00, 90.00 degrees
Closest atoms and distances in Å follow each position.
Space group Pm-3m (No. 221)
Symmetry-distinct sites (fractional):
1 Dy 0.0000 0.0000 0.5000 [3 per cell]  2 Co 2.56
2 Co 0.0000 0.0000 0.0000 [1 per cell]  6 Dy 2.56
3 Sb 0.5000 0.5000 0.5000 [1 per cell]  12 Dy 3.61

# K2ReBr6

A geometry-optimized K2ReBr6 structure (PBE, Alexandria via LeMat-Bulk).

Cell lengths 12.9525, 7.4886, 7.6199 Å; angles 90.00, 125.37, 90.00 degrees
Closest atoms and distances in Å follow each position.
Space group C2/m (No. 12)
Symmetry-distinct sites (fractional):
1 K 0.2498 0.0000 0.2444 [4 per cell]  7 Br 3.40-3.78
2 Re 0.0000 0.5000 0.0000 [2 per cell]  6 Br 2.54
3 Br 0.0322 0.2611 0.7996 [8 per cell]  1 Re 2.54
4 Br 0.2359 0.5000 0.2959 [4 per cell]  1 Re 2.54

Number 1: E_form (uncorrected) -0.40 eV per atom. Number 2: E_form (uncorrected) -0.97 eV per atom.